{"formula": "LaTaAs", "functional": "PBE", "state": "relaxed", "e_above_lowest_polymorph_ev_per_atom": 0.000, "delta_e_f_ev_per_atom": -0.7515, "cell": [[-2.732, 0.834, -2.971], [2.286, -2.119, -2.696], [-8.167, -13.529, 3.711]], "species": ["As", "As", "As", "As", "La", "La", "La", "La", "Ta", "Ta", "Ta", "Ta"], "frac_coords": [[0.000, 0.000, 0.385], [0.000, 0.000, 0.615], [0.500, 0.500, 0.885], [0.500, 0.500, 0.115], [0.000, 0.000, 0.827], [0.000, 0.000, 0.173], [0.500, 0.500, 0.327], [0.500, 0.500, 0.673], [0.000, 0.500, 0.000], [0.500, 0.000, 0.000], [0.500, 0.000, 0.500], [0.000, 0.500, 0.500]]}

{"formula": "LaTa2As2", "functional": "PBE", "state": "relaxed", "e_above_lowest_polymorph_ev_per_atom": 0.000, "delta_e_f_ev_per_atom": -0.7208, "cell": [[4.000, 0.000, 0.000], [0.000, 4.000, 0.000], [2.000, 2.000, 6.699]], "species": ["As", "As", "La", "Ta", "Ta"], "frac_coords": [[0.383, 0.383, 0.234], [0.617, 0.617, 0.766], [0.000, 0.000, 0.000], [0.750, 0.250, 0.500], [0.250, 0.750, 0.500]]}

{"formula": "La2TaAs", "functional": "PBE", "state": "relaxed", "delta_e_f_ev_per_atom": -0.2382, "cell": [[6.503, 0.005, -0.002], [3.611, 5.408, 0.002], [-4.704, -3.364, 2.972]], "species": ["As", "La", "La", "Ta"], "frac_coords": [[0.303, 0.803, 0.500], [0.004, 0.004, 0.000], [0.729, 0.229, 0.500], [0.463, 0.463, 0.000]]}

{"formula": "LaTaAs", "functional": "PBE", "state": "relaxed", "e_above_lowest_polymorph_ev_per_atom": 0.336, "delta_e_f_ev_per_atom": -0.4155, "cell": [[-3.446, -0.458, -0.193], [0.256, -0.485, -3.434], [2.332, -11.202, 1.755]], "species": ["As", "As", "La", "La", "Ta", "Ta"], "frac_coords": [[0.295, 0.250, 0.178], [0.705, 0.750, 0.822], [0.155, 0.250, 0.647], [0.845, 0.750, 0.353], [0.240, 0.250, 0.932], [0.760, 0.750, 0.068]]}

{"formula": "LaTaAs", "functional": "PBE", "state": "relaxed", "e_above_lowest_polymorph_ev_per_atom": 0.294, "delta_e_f_ev_per_atom": -0.4573, "cell": [[-0.111, 4.763, -3.289], [-0.681, -2.137, -3.072], [-13.052, -1.709, 4.081]], "species": ["As", "As", "As", "As", "La", "La", "La", "La", "Ta", "Ta", "Ta", "Ta"], "frac_coords": [[0.765, 0.000, 0.817], [0.765, 0.500, 0.317], [0.370, 0.000, 0.479], [0.370, 0.500, 0.979], [0.670, 0.000, 0.144], [0.670, 0.500, 0.644], [0.249, 0.000, 0.800], [0.249, 0.500, 0.300], [0.152, 0.000, 0.064], [0.152, 0.500, 0.564], [0.841, 0.000, 0.452], [0.841, 0.500, 0.952]]}

{"formula": "LaTa2As", "functional": "PBE", "state": "relaxed", "delta_e_f_ev_per_atom": 0.1405, "cell": [[4.828, 0.000, 0.000], [0.000, 3.787, 0.009], [0.000, 0.554, 4.873]], "species": ["As", "La", "Ta", "Ta"], "frac_coords": [[0.500, 0.250, 0.250], [0.500, 0.750, 0.750], [0.000, 0.070, 0.041], [0.000, 0.430, 0.459]]}